(1)
PrBBr6: optimized geometry, PBE.

Unit cell a=7.497 b=7.497 c=7.719 alpha=90.00 beta=90.00 gamma=120.00
Atoms (fractional coordinates):
Pr 0.000 0.000 0.000
B 0.667 0.333 0.500
Br 0.002 0.639 0.000
Br 0.361 0.363 0.000
Br 0.413 0.077 0.500
Br 0.637 0.998 0.000
Br 0.665 0.587 0.500
Br 0.923 0.335 0.500

Values from the calculation:
- E_tot: -3.6225 eV/atom
- Symmetry: No. 174


(2)
PrBBr: optimized geometry, PBE.

Unit cell a=5.151 b=5.151 c=3.664 alpha=90.00 beta=90.00 gamma=120.00
Atoms (fractional coordinates):
Pr 0.000 0.000 0.000
B 0.333 0.667 0.000
Br 0.667 0.333 0.000

Values from the calculation:
- E_tot: -3.6049 eV/atom
- Symmetry: No. 187


(3)
Pr2Sm2B2Br5: optimized geometry, PBE.

Unit cell a=10.388 b=10.388 c=8.404 alpha=103.06 beta=103.06 gamma=22.29
Atoms (fractional coordinates):
Pr 0.001 0.001 0.206
Pr 0.999 0.999 0.794
Sm 0.340 0.340 0.900
Sm 0.660 0.660 0.100
B 0.460 0.460 0.978
B 0.540 0.540 0.022
Br 0.163 0.163 0.353
Br 0.172 0.172 0.849
Br 0.500 0.500 0.500
Br 0.828 0.828 0.151
Br 0.837 0.837 0.647

Values from the calculation:
- E_tot: -4.9729 eV/atom
- Symmetry: No. 12


(4)
Pr2Y2BBr5: optimized geometry, PBE.

Unit cell a=9.321 b=9.321 c=8.621 alpha=102.39 beta=102.39 gamma=24.86
Atoms (fractional coordinates):
Pr 0.001 0.001 0.287
Pr 0.999 0.999 0.713
Y 0.358 0.358 0.427
Y 0.642 0.642 0.573
B 0.500 0.500 0.500
Br 0.170 0.170 0.820
Br 0.176 0.176 0.350
Br 0.500 0.500 0.000
Br 0.824 0.824 0.650
Br 0.830 0.830 0.180

Values from the calculation:
- E_tot: -5.1624 eV/atom
- Symmetry: No. 12


(5)
Sm4B2Br5: optimized geometry, PBE.

Unit cell a=10.340 b=10.340 c=8.232 alpha=103.20 beta=103.20 gamma=22.04
Atoms (fractional coordinates):
Sm 0.002 0.002 0.205
Sm 0.340 0.340 0.899
Sm 0.660 0.660 0.101
Sm 0.998 0.998 0.795
B 0.460 0.460 0.978
B 0.540 0.540 0.022
Br 0.162 0.162 0.361
Br 0.171 0.171 0.842
Br 0.500 0.500 0.500
Br 0.829 0.829 0.158
Br 0.838 0.838 0.639

Values from the calculation:
- E_tot: -4.9523 eV/atom
- Symmetry: No. 12


(6)
Tb4BBr6: optimized geometry, PBE.

Unit cell a=10.807 b=10.807 c=12.679 alpha=95.35 beta=95.35 gamma=63.27
Atoms (fractional coordinates):
Tb 0.029 0.789 0.192
Tb 0.044 0.283 0.546
Tb 0.082 0.859 0.912
Tb 0.141 0.918 0.588
Tb 0.211 0.971 0.308
Tb 0.283 0.044 0.046
Tb 0.311 0.616 0.396
Tb 0.384 0.689 0.104
Tb 0.616 0.311 0.896
Tb 0.689 0.384 0.604
Tb 0.717 0.956 0.954
Tb 0.789 0.029 0.692
Tb 0.859 0.082 0.412
Tb 0.918 0.141 0.088
Tb 0.956 0.717 0.454
Tb 0.971 0.211 0.808
B 0.088 0.839 0.395
B 0.161 0.912 0.105
B 0.839 0.088 0.895
B 0.912 0.161 0.605
Br 0.031 0.753 0.685
Br 0.045 0.307 0.025
Br 0.121 0.356 0.747
Br 0.192 0.448 0.467
Br 0.247 0.969 0.815
Br 0.275 0.517 0.181
Br 0.307 0.045 0.525
Br 0.342 0.587 0.896
Br 0.356 0.121 0.247
Br 0.413 0.658 0.604
Br 0.448 0.192 0.967
Br 0.483 0.725 0.319
Br 0.517 0.275 0.681
Br 0.552 0.808 0.033
Br 0.587 0.342 0.396
Br 0.644 0.879 0.753
Br 0.658 0.413 0.104
Br 0.693 0.955 0.475
Br 0.725 0.483 0.819
Br 0.753 0.031 0.185
Br 0.808 0.552 0.533
Br 0.879 0.644 0.253
Br 0.955 0.693 0.975
Br 0.969 0.247 0.315

Values from the calculation:
- E_tot: -4.7115 eV/atom
- Symmetry: No. 15


(7)
Tb4BBr5: optimized geometry, PBE.

Unit cell a=9.212 b=9.212 c=8.228 alpha=102.61 beta=102.61 gamma=24.63
Atoms (fractional coordinates):
Tb 0.001 0.001 0.291
Tb 0.357 0.357 0.425
Tb 0.643 0.643 0.575
Tb 0.999 0.999 0.709
B 0.500 0.500 0.500
Br 0.165 0.165 0.837
Br 0.172 0.172 0.332
Br 0.500 0.500 0.000
Br 0.828 0.828 0.668
Br 0.835 0.835 0.163

Values from the calculation:
- E_tot: -4.7683 eV/atom
- Symmetry: No. 12


(8)
Tm4BBr5: optimized geometry, PBE.

Unit cell a=9.074 b=9.074 c=8.069 alpha=102.45 beta=102.45 gamma=24.49
Atoms (fractional coordinates):
Tm 0.001 0.001 0.295
Tm 0.359 0.359 0.426
Tm 0.641 0.641 0.574
Tm 0.999 0.999 0.705
B 0.500 0.500 0.500
Br 0.165 0.165 0.837
Br 0.172 0.172 0.333
Br 0.500 0.500 0.000
Br 0.828 0.828 0.667
Br 0.835 0.835 0.163

Values from the calculation:
- E_tot: -4.6660 eV/atom
- Symmetry: No. 12


(9)
CdB2C2: optimized geometry, PBE.

Unit cell a=7.245 b=7.245 c=8.484 alpha=90.00 beta=90.00 gamma=81.57
Atoms (fractional coordinates):
Cd 0.177 0.177 0.500
Cd 0.207 0.793 0.992
Cd 0.293 0.707 0.492
Cd 0.323 0.323 0.000
Cd 0.677 0.677 0.000
Cd 0.707 0.293 0.508
Cd 0.793 0.207 0.008
Cd 0.823 0.823 0.500
B 0.037 0.711 0.240
B 0.085 0.915 0.737
B 0.160 0.340 0.250
B 0.211 0.537 0.740
B 0.289 0.963 0.240
B 0.340 0.160 0.750
B 0.415 0.585 0.237
B 0.463 0.789 0.740
B 0.537 0.211 0.260
B 0.585 0.415 0.763
B 0.660 0.840 0.250
B 0.711 0.037 0.760
B 0.789 0.463 0.260
B 0.840 0.660 0.750
B 0.915 0.085 0.263
B 0.963 0.289 0.760
C 0.045 0.706 0.734
C 0.082 0.918 0.246
C 0.170 0.330 0.750
C 0.206 0.545 0.234
C 0.294 0.955 0.734
C 0.330 0.170 0.250
C 0.418 0.582 0.746
C 0.455 0.794 0.234
C 0.545 0.206 0.766
C 0.582 0.418 0.254
C 0.670 0.830 0.750
C 0.706 0.045 0.266
C 0.794 0.455 0.766
C 0.830 0.670 0.250
C 0.918 0.082 0.754
C 0.955 0.294 0.266

Values from the calculation:
- E_tot: -6.2639 eV/atom
- Symmetry: No. 64


(10)
KHgBC3N3Cl: optimized geometry, PBE.

Unit cell a=7.738 b=8.155 c=14.390 alpha=90.00 beta=119.38 gamma=90.00
Atoms (fractional coordinates):
K 0.036 0.013 0.317
K 0.036 0.487 0.817
K 0.964 0.513 0.183
K 0.964 0.987 0.683
Hg 0.333 0.180 0.094
Hg 0.333 0.320 0.594
Hg 0.667 0.680 0.406
Hg 0.667 0.820 0.906
B 0.341 0.588 0.593
B 0.341 0.912 0.093
B 0.659 0.088 0.907
B 0.659 0.412 0.407
C 0.186 0.636 0.476
C 0.186 0.864 0.976
C 0.272 0.651 0.671
C 0.272 0.849 0.171
C 0.446 0.149 0.876
C 0.446 0.351 0.376
C 0.554 0.649 0.624
C 0.554 0.851 0.124
C 0.728 0.151 0.829
C 0.728 0.349 0.329
C 0.814 0.136 0.024
C 0.814 0.364 0.524
N 0.064 0.669 0.389
N 0.064 0.831 0.889
N 0.217 0.699 0.729
N 0.217 0.801 0.229
N 0.288 0.196 0.854
N 0.288 0.304 0.354
N 0.712 0.696 0.646
N 0.712 0.804 0.146
N 0.783 0.199 0.771
N 0.783 0.301 0.271
N 0.936 0.169 0.111
N 0.936 0.331 0.611
Cl 0.289 0.028 0.581
Cl 0.289 0.472 0.081
Cl 0.711 0.528 0.919
Cl 0.711 0.972 0.419

Values from the calculation:
- E_tot: -6.4273 eV/atom
- Symmetry: No. 14


(11)
DyErCo2B2C2: optimized geometry, PBE.

Unit cell a=3.525 b=3.525 c=7.626 alpha=90.00 beta=90.00 gamma=90.00
Atoms (fractional coordinates):
Dy 0.000 0.000 0.000
Er 0.500 0.500 0.332
Co 0.000 0.500 0.666
Co 0.500 0.000 0.666
B 0.000 0.000 0.516
B 0.500 0.500 0.817
C 0.000 0.000 0.318
C 0.500 0.500 0.015

Values from the calculation:
- E_tot: -7.3230 eV/atom
- Symmetry: No. 99


(12)
Dy2HoCo2B2C3: optimized geometry, PBE.

Unit cell a=10.537 b=10.537 c=10.537 alpha=160.66 beta=160.66 gamma=27.48
Atoms (fractional coordinates):
Dy 0.124 0.124 0.000
Dy 0.876 0.876 0.000
Ho 0.500 0.500 0.000
Co 0.250 0.750 0.500
Co 0.750 0.250 0.500
B 0.306 0.306 0.000
B 0.694 0.694 0.000
C 0.000 0.000 0.000
C 0.379 0.379 0.000
C 0.621 0.621 0.000

Values from the calculation:
- E_tot: -7.2284 eV/atom
- Symmetry: No. 139